A plane-wave DFT calculation with PBE was carried out for Fe after structural relaxation.

Lattice parameters (Å, degrees): 9.9996 9.9996 2.3802 90.00 90.00 90.00
Fractional positions:
Fe  0.3963  0.7716  0.0000
Fe  0.6037  0.2284  0.0000
Fe  0.2284  0.3963  0.0000
Fe  0.7716  0.6037  0.0000
Fe  0.8963  0.2716  0.5000
Fe  0.1037  0.7284  0.5000
Fe  0.7284  0.8963  0.5000
Fe  0.2716  0.1037  0.5000
Fe  0.3887  0.2615  0.0000
Fe  0.6113  0.7385  0.0000
Fe  0.7385  0.3887  0.0000
Fe  0.2615  0.6113  0.0000
Fe  0.8887  0.7615  0.5000
Fe  0.1113  0.2385  0.5000
Fe  0.2385  0.8887  0.5000
Fe  0.7615  0.1113  0.5000

The mass density is 6.234 g/cm³. Its excess energy over the best structure of this formula in the dataset is 1084 meV per atom. The value obtained for the total energy is -118.053 eV per cell. The total magnetization is 0.0 μB/f.u.

***

A plane-wave DFT calculation with PBE was carried out for LuHPb after structural relaxation.

Lattice parameters (Å, degrees): 6.4311 6.4311 6.1452 90.00 90.00 120.00
Fractional positions:
Pb  0.7294  0.8647  0.5000
Pb  0.1353  0.2706  0.8333
Pb  0.1353  0.8647  0.1667
H  0.8057  0.4029  0.5000
H  0.5971  0.1943  0.8333
H  0.5971  0.4029  0.1667
Lu  0.4365  0.2183  0.5000
Lu  0.7817  0.5635  0.8333
Lu  0.7817  0.2183  0.1667

The mass density is 8.672 g/cm³. Its excess energy over the best structure of this formula in the dataset is 459 meV per atom. The value obtained for the total energy is -35.179 eV per cell. The total magnetization is 0.0 μB/f.u.

***

A plane-wave DFT calculation with PBE was carried out for Hf6Te2P after structural relaxation.

Lattice parameters (Å, degrees): 5.9618 6.9897 9.2989 90.00 91.62 90.00
Fractional positions:
Hf  0.8715  0.9831  0.2398
Hf  0.8418  0.6673  0.5389
Hf  0.8615  0.7050  0.9546
Hf  0.6385  0.2050  0.5454
Hf  0.6582  0.1673  0.9611
Hf  0.6285  0.4831  0.2602
Hf  0.1285  0.0169  0.7602
Hf  0.1582  0.3327  0.4611
Hf  0.1385  0.2950  0.0454
Hf  0.3615  0.7950  0.4546
Hf  0.3418  0.8327  0.0389
Hf  0.3715  0.5169  0.7398
Te  0.9198  0.3880  0.7632
Te  0.5802  0.8880  0.7368
Te  0.4198  0.1120  0.2632
Te  0.0802  0.6120  0.2368
P  0.5000  0.5000  0.0000
P  0.0000  0.0000  0.5000

The uncorrected formation energy comes out at -0.475 eV per atom. The mass density is 11.636 g/cm³. The value obtained for the total energy is -151.382 eV per cell. The total magnetization is 0.0 μB/f.u.